This record from the Alexandria database describes an optimized crystal structure of Sr2ZrFeO6. The functional is PBE with a Hubbard U.

For the energy, the calculation gives -7.264 eV/atom. As for the calculated volume: 13.3 Å³ per atom. Its crystal system is cubic. For the total magnetization, the calculation gives 16.09 μB per cell.

The space group is Fm-3m (No. 225) and the conventional cell measures 8.0949, 8.0949 and 8.0949 Å, with angles of 90.00, 90.00 and 90.00 degrees. The distinct sites, in fractional coordinates, are Sr at (0.2500, 0.2500, 0.2500), Zr at (0.0000, 0.0000, 0.0000), Fe at (0.0000, 0.0000, 0.5000) and O at (0.0000, 0.0000, 0.2574).